1.
Here is a relaxed structure of Tb5YTl8 from Alexandria. Energies are from PBE.

a b c (Å): 8.0527 8.0527 8.0527
angles (deg): 109.43 109.43 109.54
Element x y z (fractional)
Tb 0.0000 0.0000 0.0000
Tb 0.1282 0.5007 0.8772
Tb 0.4993 0.3765 0.6275
Tb 0.6235 0.2510 0.1228
Tb 0.7490 0.8718 0.3725
Y 0.2500 0.7500 0.5000
Tl 0.0368 0.2888 0.4132
Tl 0.2085 0.1231 0.7477
Tl 0.3754 0.4607 0.2523
Tl 0.3764 0.9632 0.2520
Tl 0.5393 0.7915 0.9146
Tl 0.7112 0.1244 0.7480
Tl 0.8756 0.6236 0.5868
Tl 0.8769 0.6246 0.0854

Raw total energy in eV/atom: -3.7188
Space-group type: No. 82
DFT formation energy in kJ per mole of atoms: -24


2.
Here is a relaxed structure of BaMg2ZnCd8 from Alexandria. Energies are from PBE.

a b c (Å): 5.4677 5.4677 11.2517
angles (deg): 91.57 91.57 66.55
Element x y z (fractional)
Ba 0.0000 0.0000 0.0000
Mg 0.3293 0.3293 0.1765
Mg 0.6707 0.6707 0.8235
Zn 0.0000 0.0000 0.5000
Cd 0.1624 0.6699 0.6948
Cd 0.3301 0.8376 0.3052
Cd 0.3321 0.3321 0.4629
Cd 0.3483 0.3483 0.9090
Cd 0.6517 0.6517 0.0910
Cd 0.6679 0.6679 0.5371
Cd 0.6699 0.1624 0.6948
Cd 0.8376 0.3301 0.3052

Raw total energy in eV/atom: -1.1858
Space-group type: No. 12
DFT formation energy in kJ per mole of atoms: -4